# CoIr2Pd2 | Alexandria via LeMat-Bulk | GGA-PBE | relaxed
data_CoIr2Pd2
_chemical_formula_sum 'Co1 Ir2 Pd2'
_symmetry_space_group_name_H-M 'P 1'
_symmetry_Int_Tables_number 1
_cell_length_a 3.528
_cell_length_b 3.528
_cell_length_c 7.144
_cell_angle_alpha 75.70
_cell_angle_beta 75.70
_cell_angle_gamma 90.00
loop_
_symmetry_equiv_pos_as_xyz
'x,y,z'
loop_
_atom_site_label
_atom_site_type_symbol
_atom_site_fract_x
_atom_site_fract_y
_atom_site_fract_z
Pd1 Pd 0.596 0.596 0.807
Ir1 Ir 0.250 0.750 0.500
Co1 Co 0.000 0.000 0.000
Ir2 Ir 0.750 0.250 0.500
Pd2 Pd 0.404 0.404 0.193
# Magnetization, Bohr magnetons per cell: 2.26
# Formation enthalpy at 0 K, eV per formula unit: 3.54
# Energy above the lowest structure with this stoichiometry, meV/atom: 0
# Crystal system: tetragonal

# GdTmRuPb | Alexandria via LeMat-Bulk | GGA-PBE | relaxed
data_GdTmRuPb
_chemical_formula_sum 'Gd1 Tm1 Ru1 Pb1'
_symmetry_space_group_name_H-M 'P 1'
_symmetry_Int_Tables_number 1
_cell_length_a 5.111
_cell_length_b 5.111
_cell_length_c 5.111
_cell_angle_alpha 60.00
_cell_angle_beta 60.00
_cell_angle_gamma 60.00
loop_
_symmetry_equiv_pos_as_xyz
'x,y,z'
loop_
_atom_site_label
_atom_site_type_symbol
_atom_site_fract_x
_atom_site_fract_y
_atom_site_fract_z
Pb1 Pb 0.250 0.250 0.250
Tm1 Tm 0.000 0.000 0.000
Ru1 Ru 0.750 0.750 0.750
Gd1 Gd 0.500 0.500 0.500
# Magnetization, Bohr magnetons per cell: 6.98
# Formation enthalpy at 0 K, eV per formula unit: -1.05
# Crystal system: cubic

# Np2Si4IrRh3 | Alexandria via LeMat-Bulk | GGA-PBE | relaxed
data_Np2Si4IrRh3
_chemical_formula_sum 'Np2 Si4 Ir1 Rh3'
_symmetry_space_group_name_H-M 'P 1'
_symmetry_Int_Tables_number 1
_cell_length_a 4.116
_cell_length_b 4.116
_cell_length_c 9.881
_cell_angle_alpha 90.00
_cell_angle_beta 90.00
_cell_angle_gamma 90.00
loop_
_symmetry_equiv_pos_as_xyz
'x,y,z'
loop_
_atom_site_label
_atom_site_type_symbol
_atom_site_fract_x
_atom_site_fract_y
_atom_site_fract_z
Rh1 Rh 0.500 0.000 0.872
Np1 Np 0.500 0.000 0.242
Np2 Np 0.000 0.500 0.758
Si1 Si 0.500 0.500 0.000
Si2 Si 0.000 0.000 0.000
Rh2 Rh 0.000 0.500 0.128
Si3 Si 0.500 0.000 0.631
Si4 Si 0.000 0.500 0.369
Rh3 Rh 0.000 0.000 0.500
Ir1 Ir 0.500 0.500 0.500
# Magnetization, Bohr magnetons per cell: 7.26
# E_tot, eV/atom: -8.575
# Crystal system: tetragonal

# PrDy2NpP4 | Alexandria via LeMat-Bulk | GGA-PBE | relaxed
data_PrDy2NpP4
_chemical_formula_sum 'Pr1 Dy2 Np1 P4'
_symmetry_space_group_name_H-M 'P 1'
_symmetry_Int_Tables_number 1
_cell_length_a 4.037
_cell_length_b 7.010
_cell_length_c 6.991
_cell_angle_alpha 109.34
_cell_angle_beta 90.00
_cell_angle_gamma 90.00
loop_
_symmetry_equiv_pos_as_xyz
'x,y,z'
loop_
_atom_site_label
_atom_site_type_symbol
_atom_site_fract_x
_atom_site_fract_y
_atom_site_fract_z
Np1 Np 0.000 0.000 0.000
P1 P 0.500 0.758 0.750
Dy1 Dy 0.500 0.000 0.500
P2 P 0.500 0.242 0.250
Dy2 Dy 0.000 0.500 0.500
P3 P 0.000 0.238 0.745
P4 P 0.000 0.762 0.255
Pr1 Pr 0.500 0.500 0.000
# Magnetization, Bohr magnetons per cell: 3.65
# Formation enthalpy at 0 K, eV per formula unit: -11.05
# Crystal system: monoclinic

# Pm2Y3In3 | Alexandria via LeMat-Bulk | GGA-PBE | relaxed
data_Pm2Y3In3
_chemical_formula_sum 'Pm2 Y3 In3'
_symmetry_space_group_name_H-M 'P 1'
_symmetry_Int_Tables_number 1
_cell_length_a 4.937
_cell_length_b 4.994
_cell_length_c 9.254
_cell_angle_alpha 90.00
_cell_angle_beta 90.00
_cell_angle_gamma 90.00
loop_
_symmetry_equiv_pos_as_xyz
'x,y,z'
loop_
_atom_site_label
_atom_site_type_symbol
_atom_site_fract_x
_atom_site_fract_y
_atom_site_fract_z
In1 In 0.500 0.000 0.500
In2 In 0.000 0.500 0.500
Pm1 Pm 0.000 0.000 0.742
Pm2 Pm 0.000 0.000 0.258
Y1 Y 0.500 0.000 0.000
Y2 Y 0.500 0.500 0.730
In3 In 0.000 0.500 0.000
Y3 Y 0.500 0.500 0.270
# Magnetization, Bohr magnetons per cell: 0.46
# Formation enthalpy at 0 K, eV per formula unit: -2.93
# Energy above the lowest structure with this stoichiometry, meV/atom: 4
# Crystal system: orthorhombic

# Ce3RuAu | Alexandria via LeMat-Bulk | GGA-PBE | relaxed
data_Ce3RuAu
_chemical_formula_sum 'Ce6 Ru2 Au2'
_symmetry_space_group_name_H-M 'P 1'
_symmetry_Int_Tables_number 1
_cell_length_a 5.315
_cell_length_b 6.279
_cell_length_c 8.808
_cell_angle_alpha 114.48
_cell_angle_beta 83.54
_cell_angle_gamma 114.05
loop_
_symmetry_equiv_pos_as_xyz
'x,y,z'
loop_
_atom_site_label
_atom_site_type_symbol
_atom_site_fract_x
_atom_site_fract_y
_atom_site_fract_z
Ru1 Ru 0.997 0.246 0.988
Ce1 Ce 0.517 0.208 0.904
Ce2 Ce 0.842 0.741 0.716
Ce3 Ce 0.158 0.259 0.284
Ru2 Ru 0.003 0.754 0.012
Ce4 Ce 0.119 0.328 0.671
Au1 Au 0.601 0.201 0.450
Au2 Au 0.399 0.799 0.550
Ce5 Ce 0.483 0.792 0.096
Ce6 Ce 0.881 0.672 0.329
# Magnetization, Bohr magnetons per cell: 3.51
# Formation enthalpy at 0 K, eV per formula unit: -1.90
# Energy above the lowest structure with this stoichiometry, meV/atom: 43
# Crystal system: triclinic

# MnAgSnTe3 | Alexandria via LeMat-Bulk | GGA-PBE | relaxed
data_MnAgSnTe3
_chemical_formula_sum 'Mn2 Ag2 Sn2 Te6'
_symmetry_space_group_name_H-M 'P 1'
_symmetry_Int_Tables_number 1
_cell_length_a 4.064
_cell_length_b 7.932
_cell_length_c 11.019
_cell_angle_alpha 108.20
_cell_angle_beta 90.00
_cell_angle_gamma 90.00
loop_
_symmetry_equiv_pos_as_xyz
'x,y,z'
loop_
_atom_site_label
_atom_site_type_symbol
_atom_site_fract_x
_atom_site_fract_y
_atom_site_fract_z
Ag1 Ag 0.750 0.904 0.398
Te1 Te 0.750 0.933 0.153
Te2 Te 0.250 0.067 0.847
Te3 Te 0.750 0.457 0.135
Te4 Te 0.250 0.543 0.865
Mn1 Mn 0.250 0.696 0.132
Sn1 Sn 0.250 0.305 0.311
Te5 Te 0.750 0.298 0.522
Sn2 Sn 0.750 0.695 0.689
Ag2 Ag 0.250 0.096 0.602
Mn2 Mn 0.750 0.304 0.868
Te6 Te 0.250 0.702 0.478
# Magnetization, Bohr magnetons per cell: 8.01
# E_tot, eV/atom: -4.362
# Crystal system: monoclinic

# Cs2YPb2 | Alexandria via LeMat-Bulk | GGA-PBE | relaxed
data_Cs2YPb2
_chemical_formula_sum 'Cs2 Y1 Pb2'
_symmetry_space_group_name_H-M 'P 1'
_symmetry_Int_Tables_number 1
_cell_length_a 4.375
_cell_length_b 4.375
_cell_length_c 14.255
_cell_angle_alpha 81.17
_cell_angle_beta 81.17
_cell_angle_gamma 90.00
loop_
_symmetry_equiv_pos_as_xyz
'x,y,z'
loop_
_atom_site_label
_atom_site_type_symbol
_atom_site_fract_x
_atom_site_fract_y
_atom_site_fract_z
Pb1 Pb 0.750 0.250 0.500
Cs1 Cs 0.621 0.621 0.758
Pb2 Pb 0.250 0.750 0.500
Cs2 Cs 0.379 0.379 0.242
Y1 Y 0.000 0.000 0.000
# Magnetization, Bohr magnetons per cell: 1.89
# Formation enthalpy at 0 K, eV per formula unit: 2.15
# Energy above the lowest structure with this stoichiometry, meV/atom: 391
# Crystal system: tetragonal

# Hf2GaP | Alexandria via LeMat-Bulk | GGA-PBE | relaxed
data_Hf2GaP
_chemical_formula_sum 'Hf2 Ga1 P1'
_symmetry_space_group_name_H-M 'P 1'
_symmetry_Int_Tables_number 1
_cell_length_a 3.475
_cell_length_b 3.475
_cell_length_c 8.811
_cell_angle_alpha 78.63
_cell_angle_beta 78.63
_cell_angle_gamma 60.00
loop_
_symmetry_equiv_pos_as_xyz
'x,y,z'
loop_
_atom_site_label
_atom_site_type_symbol
_atom_site_fract_x
_atom_site_fract_y
_atom_site_fract_z
P1 P 0.500 0.500 0.500
Ga1 Ga 0.000 0.000 0.000
Hf1 Hf 0.892 0.892 0.323
Hf2 Hf 0.108 0.108 0.677
# Magnetization, Bohr magnetons per cell: 0.00
# Formation enthalpy at 0 K, eV per formula unit: -1.41
# Energy above the lowest structure with this stoichiometry, meV/atom: 439
# Crystal system: trigonal

# KBi3F | Alexandria via LeMat-Bulk | GGA-PBE | relaxed
data_KBi3F
_chemical_formula_sum 'K1 Bi3 F1'
_symmetry_space_group_name_H-M 'P 1'
_symmetry_Int_Tables_number 1
_cell_length_a 5.243
_cell_length_b 5.243
_cell_length_c 5.243
_cell_angle_alpha 90.00
_cell_angle_beta 90.00
_cell_angle_gamma 90.00
loop_
_symmetry_equiv_pos_as_xyz
'x,y,z'
loop_
_atom_site_label
_atom_site_type_symbol
_atom_site_fract_x
_atom_site_fract_y
_atom_site_fract_z
Bi1 Bi 0.500 0.000 0.000
Bi2 Bi 0.000 0.500 0.000
F1 F 0.000 0.000 0.000
Bi3 Bi 0.000 0.000 0.500
K1 K 0.500 0.500 0.500
# Magnetization, Bohr magnetons per cell: 0.00
# Energy above the lowest structure with this stoichiometry, meV/atom: 0
# Crystal system: cubic

# CuRe2Pb | Alexandria via LeMat-Bulk | GGA-PBE | relaxed
data_CuRe2Pb
_chemical_formula_sum 'Cu1 Re2 Pb1'
_symmetry_space_group_name_H-M 'P 1'
_symmetry_Int_Tables_number 1
_cell_length_a 4.513
_cell_length_b 4.513
_cell_length_c 4.513
_cell_angle_alpha 60.00
_cell_angle_beta 60.00
_cell_angle_gamma 60.00
loop_
_symmetry_equiv_pos_as_xyz
'x,y,z'
loop_
_atom_site_label
_atom_site_type_symbol
_atom_site_fract_x
_atom_site_fract_y
_atom_site_fract_z
Pb1 Pb 0.500 0.500 0.500
Re1 Re 0.250 0.250 0.250
Re2 Re 0.750 0.750 0.750
Cu1 Cu 0.000 0.000 0.000
# Magnetization, Bohr magnetons per cell: 0.00
# Formation enthalpy at 0 K, eV per formula unit: 4.44
# Energy above the lowest structure with this stoichiometry, meV/atom: 629
# Crystal system: cubic

# Sr3Sc2N4 | Alexandria via LeMat-Bulk | GGA-PBE | relaxed
data_Sr3Sc2N4
_chemical_formula_sum 'Sr6 Sc4 N8'
_symmetry_space_group_name_H-M 'P 1'
_symmetry_Int_Tables_number 1
_cell_length_a 7.350
_cell_length_b 9.572
_cell_length_c 6.189
_cell_angle_alpha 90.00
_cell_angle_beta 92.28
_cell_angle_gamma 130.63
loop_
_symmetry_equiv_pos_as_xyz
'x,y,z'
loop_
_atom_site_label
_atom_site_type_symbol
_atom_site_fract_x
_atom_site_fract_y
_atom_site_fract_z
N1 N 0.231 0.909 0.505
N2 N 0.769 0.678 0.995
Sc1 Sc 0.567 0.170 0.588
Sr1 Sr 0.775 0.047 0.932
Sc2 Sc 0.567 0.396 0.088
Sc3 Sc 0.433 0.830 0.412
N3 N 0.349 0.748 0.078
Sr2 Sr 0.775 0.728 0.432
N4 N 0.231 0.322 0.005
Sr3 Sr 0.000 0.404 0.250
N5 N 0.651 0.252 0.922
N6 N 0.651 0.399 0.422
N7 N 0.349 0.601 0.578
Sr4 Sr 0.000 0.596 0.750
Sr5 Sr 0.225 0.953 0.068
N8 N 0.769 0.091 0.495
Sc4 Sc 0.433 0.604 0.912
Sr6 Sr 0.225 0.272 0.568
# Magnetization, Bohr magnetons per cell: 0.00
# E_tot, eV/atom: -6.720
# Crystal system: monoclinic

# Sm2HoBe | Alexandria via LeMat-Bulk | GGA-PBE | relaxed
data_Sm2HoBe
_chemical_formula_sum 'Sm2 Ho1 Be1'
_symmetry_space_group_name_H-M 'P 1'
_symmetry_Int_Tables_number 1
_cell_length_a 3.455
_cell_length_b 3.455
_cell_length_c 11.715
_cell_angle_alpha 81.52
_cell_angle_beta 81.52
_cell_angle_gamma 60.00
loop_
_symmetry_equiv_pos_as_xyz
'x,y,z'
loop_
_atom_site_label
_atom_site_type_symbol
_atom_site_fract_x
_atom_site_fract_y
_atom_site_fract_z
Ho1 Ho 0.500 0.500 0.500
Be1 Be 0.000 0.000 0.000
Sm1 Sm 0.916 0.916 0.253
Sm2 Sm 0.084 0.084 0.747
# Magnetization, Bohr magnetons per cell: 0.00
# Formation enthalpy at 0 K, eV per formula unit: 2.72
# Energy above the lowest structure with this stoichiometry, meV/atom: 576
# Crystal system: trigonal

# Pm4MgTl3 | Alexandria via LeMat-Bulk | GGA-PBE | relaxed
data_Pm4MgTl3
_chemical_formula_sum 'Pm4 Mg1 Tl3'
_symmetry_space_group_name_H-M 'P 1'
_symmetry_Int_Tables_number 1
_cell_length_a 5.448
_cell_length_b 5.448
_cell_length_c 8.737
_cell_angle_alpha 108.23
_cell_angle_beta 108.17
_cell_angle_gamma 90.00
loop_
_symmetry_equiv_pos_as_xyz
'x,y,z'
loop_
_atom_site_label
_atom_site_type_symbol
_atom_site_fract_x
_atom_site_fract_y
_atom_site_fract_z
Tl1 Tl 0.746 0.246 0.493
Pm1 Pm 0.875 0.875 0.750
Tl2 Tl 0.254 0.754 0.507
Pm2 Pm 0.625 0.625 0.250
Pm3 Pm 0.125 0.125 0.250
Tl3 Tl 0.000 0.500 0.000
Pm4 Pm 0.375 0.375 0.750
Mg1 Mg 0.500 0.000 0.000
# Magnetization, Bohr magnetons per cell: 0.00
# Formation enthalpy at 0 K, eV per formula unit: -2.56
# Energy above the lowest structure with this stoichiometry, meV/atom: 0
# Crystal system: monoclinic